Record 1
{"formula": "NaMn2AsCl", "functional": "PBE-GGA", "state": "optimized geometry", "dos_ef_per_ev_cell": 2.727, "vol_a3_per_atom": 22.71, "rho_kg_m3": 3558, "total_energy_ev_per_atom": -4.5910, "crystal_system": "tetragonal", "lattice": [[4.510, 0.000, 0.000], [0.000, 5.581, 0.000], [0.000, 0.000, 4.510]], "species": ["As", "Na", "Mn", "Mn", "Cl"], "fractional_positions": [[0.000, 0.500, 0.000], [0.500, 0.500, 0.500], [0.500, 0.000, 0.000], [0.000, 0.000, 0.500], [0.000, 0.000, 0.000]]}

=====

Record 2
{"formula": "MnNiAs2Cl", "functional": "PBE-GGA", "state": "optimized geometry", "dos_ef_per_ev_cell": 5.325, "vol_a3_per_atom": 19.97, "rho_kg_m3": 4971, "total_energy_ev_per_atom": -4.6226, "crystal_system": "tetragonal", "lattice": [[4.715, 0.000, 0.000], [0.000, 4.492, 0.000], [0.000, 0.000, 4.715]], "species": ["Mn", "Cl", "Ni", "As", "As"], "fractional_positions": [[0.000, 0.000, 0.000], [0.000, 0.500, 0.000], [0.500, 0.500, 0.500], [0.000, 0.000, 0.500], [0.500, 0.000, 0.000]]}

=====

Record 3
{"formula": "MnNiAsCl2", "functional": "PBE-GGA", "state": "optimized geometry", "dos_ef_per_ev_cell": 5.247, "vol_a3_per_atom": 21.52, "rho_kg_m3": 4004, "total_energy_ev_per_atom": -4.1988, "crystal_system": "tetragonal", "lattice": [[4.477, 0.000, 0.000], [0.000, 4.477, 0.000], [0.000, 0.000, 5.368]], "species": ["As", "Cl", "Cl", "Ni", "Mn"], "fractional_positions": [[0.500, 0.500, 0.500], [0.500, 0.000, 0.000], [0.000, 0.500, 0.000], [0.000, 0.000, 0.500], [0.000, 0.000, 0.000]]}

=====

Record 4
{"formula": "MnAsPCl2", "functional": "PBE-GGA", "state": "optimized geometry", "dos_ef_per_ev_cell": 0.736, "vol_a3_per_atom": 23.88, "rho_kg_m3": 3222, "total_energy_ev_per_atom": -4.1464, "crystal_system": "tetragonal", "lattice": [[-4.292, -0.395, -2.301], [2.062, -2.900, -3.349], [-1.121, -4.005, 2.779]], "species": ["Cl", "Cl", "Mn", "As", "P"], "fractional_positions": [[0.000, 0.500, 0.000], [0.500, 0.000, 0.000], [0.500, 0.500, 0.500], [0.000, 0.000, 0.000], [0.000, 0.000, 0.500]]}

=====

Record 5
{"formula": "MnAsPCl2", "functional": "PBE-GGA", "state": "optimized geometry", "dos_ef_per_ev_cell": 9.552, "vol_a3_per_atom": 18.67, "rho_kg_m3": 4122, "total_energy_ev_per_atom": -4.1466, "crystal_system": "tetragonal", "lattice": [[4.369, 0.000, 0.000], [0.000, 4.369, 0.000], [0.000, 0.000, 4.890]], "species": ["Mn", "Cl", "Cl", "P", "As"], "fractional_positions": [[0.000, 0.000, 0.000], [0.000, 0.500, 0.000], [0.500, 0.000, 0.000], [0.000, 0.000, 0.500], [0.500, 0.500, 0.500]]}

=====

Record 6
{"formula": "Rb2MnAsCl", "functional": "PBE-GGA", "state": "optimized geometry", "dos_ef_per_ev_cell": 8.904, "vol_a3_per_atom": 39.93, "rho_kg_m3": 2796, "total_energy_ev_per_atom": -3.3576, "crystal_system": "tetragonal", "lattice": [[6.759, 0.000, 0.000], [0.000, 4.371, 0.000], [0.000, 0.000, 6.759]], "species": ["Cl", "As", "Rb", "Rb", "Mn"], "fractional_positions": [[0.000, 0.500, 0.000], [0.500, 0.500, 0.500], [0.500, 0.000, 0.000], [0.000, 0.000, 0.500], [0.000, 0.000, 0.000]]}